{"formula": "Ce8CuIr5", "functional": "PBE-GGA", "state": "optimized geometry", "cell": [[-7.2133, -2.0768, 0.8752], [4.2303, -6.1671, -1.0874], [2.4502, 3.6191, 6.1652]], "species": ["Ce", "Ce", "Ce", "Ce", "Ir", "Ir", "Ir", "Ir", "Ce", "Ir", "Cu", "Ce", "Ce", "Ce"], "fractional_positions": [[0.7374, 0.2443, 0.3701], [0.5068, 0.6326, 0.2626], [0.6299, 0.3674, 0.8742], [0.6356, 0.8779, 0.8789], [0.3735, 0.1190, 0.9908], [0.8718, 0.8810, 0.2545], [0.5000, 0.0000, 0.5000], [0.7455, 0.6173, 0.6265], [0.1211, 0.7567, 0.9989], [0.0092, 0.3827, 0.1282], [0.2500, 0.5000, 0.7500], [0.2423, 0.2433, 0.3644], [0.0011, 0.1221, 0.7577], [0.1258, 0.7557, 0.4932]], "formation_enthalpy_0k_mev_per_atom": -593, "density_g_cm3": 10.725}